Compound: Pu2NpGa2Ru5
Source: Alexandria
Functional: PBE
Structure: relaxed

Cell lengths 10.029, 10.029, 3.501 Å; angles 90.00, 90.00, 90.00 degrees
Element x y z (fractional)
Pu: 0.170 0.330 0.000
Pu: 0.330 0.830 0.000
Pu: 0.670 0.170 0.000
Pu: 0.830 0.670 0.000
Np: 0.000 0.000 0.000
Np: 0.500 0.500 0.000
Ga: 0.127 0.627 0.000
Ga: 0.373 0.127 0.000
Ga: 0.627 0.873 0.000
Ga: 0.873 0.373 0.000
Ru: 0.000 0.500 0.500
Ru: 0.069 0.800 0.500
Ru: 0.200 0.069 0.500
Ru: 0.300 0.569 0.500
Ru: 0.431 0.300 0.500
Ru: 0.500 0.000 0.500
Ru: 0.569 0.700 0.500
Ru: 0.700 0.431 0.500
Ru: 0.800 0.931 0.500
Ru: 0.931 0.200 0.500

Volume: 17.606 Å³/atom
Formation energy: -0.20 eV/atom